# 1
First-principles (GGA-PBEsol) data for an optimized crystal structure of Y2ScSi, as listed in the Alexandria database.

The structure in POSCAR format:
```
Y2ScSi
1.0
-2.489 4.287 -0.703
-3.521 1.415 3.267
0.821 3.898 3.034
Sc Si Y
1 1 2
direct
0.500 0.500 0.500
0.750 0.750 0.750
0.000 0.000 0.000
0.250 0.250 0.250
```

Results
E: -0.24247 Ha/atom

***

# 2
First-principles (GGA-PBEsol) data for an optimized crystal structure of YScSi2, as listed in the Alexandria database.

The structure in POSCAR format:
```
YScSi2
1.0
-2.841 0.644 -2.316
1.648 -2.570 -2.736
-3.394 -2.577 3.447
Y Sc Si
1 1 2
direct
0.000 0.109 0.218
0.500 0.389 0.777
0.000 0.830 0.659
0.500 0.674 0.347
```

Results
E above lowest polymorph: 0 meV per atom

***

# 3
First-principles (GGA-PBEsol) data for an optimized crystal structure of Y2ScSi2, as listed in the Alexandria database.

The structure in POSCAR format:
```
Y2ScSi2
1.0
4.180 0.000 0.000
0.000 7.171 0.000
0.000 0.000 7.171
Y Sc Si
4 2 4
direct
0.500 0.176 0.676
0.500 0.676 0.824
0.500 0.824 0.324
0.500 0.324 0.176
0.000 0.000 0.000
0.000 0.500 0.500
0.000 0.379 0.879
0.000 0.879 0.621
0.000 0.621 0.121
0.000 0.121 0.379
```

Results
E: -0.26390 Ha/atom

***

# 4
First-principles (GGA-PBEsol) data for an optimized crystal structure of Y5Sc5Si6, as listed in the Alexandria database.

The structure in POSCAR format:
```
Y5Sc5Si6
1.0
5.926 0.000 0.000
0.000 8.124 -0.001
0.000 -4.020 7.059
Y Sc Si
5 5 6
direct
0.500 0.000 0.244
0.500 0.244 0.000
0.000 0.248 0.248
0.000 0.998 0.756
0.000 0.756 0.998
0.749 0.335 0.667
0.749 0.667 0.335
0.251 0.667 0.335
0.251 0.335 0.667
0.500 0.751 0.751
0.500 0.405 0.405
0.500 0.993 0.602
0.500 0.602 0.993
0.000 0.600 0.600
0.000 0.999 0.400
0.000 0.400 0.999
```

Results
E: -0.26238 Ha/atom

***

# 5
First-principles (GGA-PBEsol) data for an optimized crystal structure of ScZn2Si, as listed in the Alexandria database.

The structure in POSCAR format:
```
ScZn2Si
1.0
-3.527 -1.124 2.511
-0.949 -4.311 0.721
0.619 -1.778 4.057
Sc Si Zn
1 1 2
direct
0.500 0.500 0.500
0.250 0.250 0.250
0.000 0.000 0.000
0.750 0.750 0.750
```

Results
E: -0.14756 Ha/atom

***

# 6
First-principles (GGA-PBEsol) data for an optimized crystal structure of ScZn2Si, as listed in the Alexandria database.

The structure in POSCAR format:
```
ScZn2Si
1.0
-1.869 2.364 1.017
-1.670 -0.158 -2.702
-3.879 -4.204 2.643
Sc Si Zn
1 1 2
direct
0.000 0.000 0.506
0.500 0.500 0.779
0.000 0.000 0.004
0.500 0.500 0.211
```

Results
E: -0.14956 Ha/atom

***

# 7
First-principles (GGA-PBEsol) data for an optimized crystal structure of Sc2ZnSi, as listed in the Alexandria database.

The structure in POSCAR format:
```
Sc2ZnSi
1.0
3.899 0.000 0.000
0.000 3.899 0.000
-1.950 -1.950 4.688
Sc Si Zn
2 1 1
direct
0.000 0.000 0.000
0.750 0.250 0.500
0.500 0.500 0.000
0.250 0.750 0.500
```

Results
E: -0.20465 Ha/atom

***

# 8
First-principles (GGA-PBEsol) data for an optimized crystal structure of Sc2ZnSi2, as listed in the Alexandria database.

The structure in POSCAR format:
```
Sc2ZnSi2
1.0
4.006 0.000 0.000
0.000 6.464 0.000
0.000 0.000 6.464
Sc Zn Si
4 2 4
direct
0.500 0.174 0.674
0.500 0.674 0.826
0.500 0.826 0.326
0.500 0.326 0.174
0.000 0.000 0.000
0.000 0.500 0.500
0.000 0.373 0.873
0.000 0.873 0.627
0.000 0.627 0.127
0.000 0.127 0.373
```

Results
E: -0.22014 Ha/atom

***

# 9
First-principles (GGA-PBEsol) data for an optimized crystal structure of ScZn2Si, as listed in the Alexandria database.

The structure in POSCAR format:
```
ScZn2Si
1.0
-1.288 1.673 -2.399
-2.633 -2.510 -0.337
-3.123 2.790 3.622
Sc Si Zn
1 1 2
direct
0.500 0.500 0.000
0.500 0.500 0.500
0.000 0.000 0.731
0.000 0.000 0.269
```

Results
E: -0.14772 Ha/atom

***

# 10
First-principles (GGA-PBEsol) data for an optimized crystal structure of ScZn3Si, as listed in the Alexandria database.

The structure in POSCAR format:
```
ScZn3Si
1.0
4.979 0.000 0.000
0.000 4.979 0.000
0.000 0.000 4.979
Sc Zn Si
1 3 1
direct
0.000 0.000 0.000
0.000 0.500 0.000
0.000 0.000 0.500
0.500 0.000 0.000
0.500 0.500 0.500
```

Results
E: -0.08114 Ha/atom

***

# 11
First-principles (GGA-PBEsol) data for an optimized crystal structure of ScZn2Si, as listed in the Alexandria database.

The structure in POSCAR format:
```
ScZn2Si
1.0
3.862 0.000 0.000
0.000 3.959 0.000
-1.931 -1.979 4.187
Sc Si Zn
1 1 2
direct
0.513 0.513 0.027
0.258 0.758 0.516
0.972 0.972 0.944
0.757 0.257 0.513
```

Results
E: -0.15124 Ha/atom

***

# 12
First-principles (GGA-PBEsol) data for an optimized crystal structure of ScZn2Si, as listed in the Alexandria database.

The structure in POSCAR format:
```
ScZn2Si
1.0
-1.196 1.024 3.535
2.056 -2.897 1.534
3.223 2.484 0.371
Sc Zn Si
1 2 1
direct
0.500 0.500 0.500
0.000 0.500 0.000
0.500 0.000 0.000
0.000 0.000 0.500
```

Results
E: -0.15881 Ha/atom

***

# 13
First-principles (GGA-PBEsol) data for an optimized crystal structure of ZrScZn2Si, as listed in the Alexandria database.

The structure in POSCAR format:
```
ZrScZn2Si
1.0
4.513 0.000 0.000
0.000 4.513 0.000
0.000 0.000 4.838
Sc Zn Si Zr
1 2 1 1
direct
0.000 0.000 0.500
0.000 0.500 0.000
0.500 0.000 0.000
0.000 0.000 0.000
0.500 0.500 0.500
```

Results
E: -0.16684 Ha/atom